Entry from Alexandria: an optimized crystal structure of MnMoPb3 (PBE-GGA).

Geometry as POSCAR:
```
MnMoPb3
1.0
5.4026 0.0000 0.0000
0.0000 5.4026 0.0000
0.0000 0.0000 5.4026
Pb Mo Mn
3 1 1
Direct
0.0000 0.5000 0.0000 Pb
0.0000 0.0000 0.5000 Pb
0.5000 0.0000 0.0000 Pb
0.0000 0.0000 0.0000 Mo
0.5000 0.5000 0.5000 Mn
```

ΔH_f (0 K), eV per atom: 0.88
Energy, eV/atom: -5.34
Polymorph energy (0 for the lowest one), meV/atom: 0.0
Total moment, μB/cell: 5.013


Entry from Alexandria: an optimized crystal structure of MnMo2RuPb (PBE-GGA).

Geometry as POSCAR:
```
MnMo2RuPb
1.0
-2.3001 3.7759 0.1223
-3.5794 -2.1012 -2.4483
-1.8651 -1.2595 3.8076
Pb Ru Mo Mn
1 1 2 1
Direct
0.0000 0.5000 0.0000 Pb
0.5000 0.5000 0.5000 Ru
0.0000 0.0000 0.5000 Mo
0.5000 0.0000 0.0000 Mo
0.0000 0.0000 0.0000 Mn
```

ΔH_f (0 K), eV per atom: 1.41
Energy, eV/atom: -7.35
Total moment, μB/cell: 0.000


Entry from Alexandria: an optimized crystal structure of MnMo2PbSe (PBE-GGA).

Geometry as POSCAR:
```
MnMo2PbSe
1.0
4.7395 0.0000 0.0000
0.0000 4.7395 0.0000
0.0000 0.0000 4.4476
Pb Mo Mn Se
1 2 1 1
Direct
0.5000 0.5000 0.5000 Pb
0.0000 0.5000 0.0000 Mo
0.5000 0.0000 0.0000 Mo
0.0000 0.0000 0.5000 Mn
0.0000 0.0000 0.0000 Se
```

Energy, eV/atom: -6.75
Total moment, μB/cell: 1.420


Question: What is the formula in the second record?
Answer: MnMo2RuPb


Question: Which formula does entry 2 have?
Answer: MnMo2RuPb


Question: Look up the energy of the third one.
Answer: -6.75 eV/atom